3
Lattice="7.446 0.099 0.060 6.431 3.754 0.060 6.431 1.786 3.303" Properties=species:S:1:pos:R:3 comment="PBE ZnBr2, optimized geometry" space_group="R-3m, No. 166" formation_energy_uncorrected_mev_per_atom=-797 dos_at_fermi_per_ev_cell=0.00 pbc="T T T"
Zn 0.000 0.000 0.000
Br 5.354 1.487 0.903
Br 14.955 4.153 2.521